The following is a PBE-GGA calculation of crystalline KHF at its relaxed geometry, from Alexandria via LeMat-Bulk.

Summary:
E ... -3.12 eV/atom

abc: 3.8229 3.8229 7.1200
angles: 90.00 90.00 90.00
Last column: nearest neighbours and their distance in Å.
Space group I4mm (No. 107)
One atom of each set of equivalent atoms:
K 0.0000 0.0000 0.0000 [2 per cell]  5 H 2.73-2.83, 5 F 2.77-2.82
H 0.0000 0.0000 0.3828 [2 per cell]  1 F 1.63
F 0.0000 0.0000 0.6110 [2 per cell]  1 H 1.63

---

The following is a PBE-GGA calculation of crystalline KHF at its relaxed geometry, from Alexandria via LeMat-Bulk.

Summary:
E ... -3.90 eV/atom

abc: 15.2783 3.7409 3.7705
angles: 90.00 90.06 90.00
Last column: nearest neighbours and their distance in Å.
Space group C2/m (No. 12)
One atom of each set of equivalent atoms:
K 0.1604 0.0000 0.2510 [4 per cell]  5 F 2.65-2.67
H 0.0211 0.5000 0.5537 [4 per cell]  1 H 0.76
F 0.1645 0.5000 0.7536 [4 per cell]  1 H 2.32

---

The following is a PBE-GGA calculation of crystalline KH6F8 at its relaxed geometry, from Alexandria via LeMat-Bulk.

Summary:
E ... -4.04 eV/atom

abc: 7.9492 7.9492 9.3511
angles: 90.00 90.00 120.00
Last column: nearest neighbours and their distance in Å.
Space group R-3 (No. 148, hexagonal axes)
One atom of each set of equivalent atoms:
K 0.0000 0.0000 0.0000 [3 per cell]  8 F 2.77-2.89
H 0.0160 0.1728 0.6456 [18 per cell]  1 F 1.01
F 0.0000 0.0000 0.3089 [6 per cell]  3 H 1.38
F 0.0290 0.2980 0.6073 [18 per cell]  1 H 1.01

---

The following is a PBE-GGA calculation of crystalline KH3F3 at its relaxed geometry, from Alexandria via LeMat-Bulk.

Summary:
E ... -3.76 eV/atom

abc: 6.0455 6.0455 19.3204
angles: 90.00 90.00 120.00
Last column: nearest neighbours and their distance in Å.
Space group R-3 (No. 148, hexagonal axes)
One atom of each set of equivalent atoms:
K 0.0000 0.0000 0.2086 [6 per cell]  6 F 2.76-2.79
H 0.0861 0.8454 0.6139 [18 per cell]  1 F 0.98
F 0.0074 0.4497 0.7620 [18 per cell]  1 H 0.98

---

The following is a PBE-GGA calculation of crystalline KH2F at its relaxed geometry, from Alexandria via LeMat-Bulk.

Summary:
E ... -2.90 eV/atom

abc: 3.4207 3.4207 22.0244
angles: 90.00 90.00 90.00
Last column: nearest neighbours and their distance in Å.
Space group I4_1/amd (No. 141, origin choice 2)
One atom of each set of equivalent atoms:
K 0.0000 0.2500 0.3750 [4 per cell]  4 F 2.42
H 0.0000 0.0000 0.0000 [8 per cell]  2 H 1.71
F 0.0000 0.2500 0.8750 [4 per cell]  4 K 2.42

---

The following is a PBE-GGA calculation of crystalline K2HF at its relaxed geometry, from Alexandria via LeMat-Bulk.

Summary:
E ... -3.29 eV/atom

abc: 3.8120 3.8120 20.1180
angles: 90.00 90.00 120.00
Last column: nearest neighbours and their distance in Å.
Space group R3m (No. 160, hexagonal axes)
One atom of each set of equivalent atoms:
K 0.0000 0.0000 0.0000 [3 per cell]  3 F 2.74, 3 H 2.77
K 0.0000 0.0000 0.1640 [3 per cell]  3 F 2.76, 3 H 2.79
H 0.0000 0.0000 0.5827 [3 per cell]  6 K 2.77-2.79
F 0.0000 0.0000 0.4145 [3 per cell]  6 K 2.74-2.76

---

The following is a PBE-GGA calculation of crystalline K12H5F3 at its relaxed geometry, from Alexandria via LeMat-Bulk.

Summary:
E ... -2.45 eV/atom

abc: 17.7565 17.7565 17.7565
angles: 90.00 90.00 90.00
Last column: nearest neighbours and their distance in Å.
Space group Ia-3d (No. 230)
One atom of each set of equivalent atoms:
K 0.0185 0.0248 0.3422 [96 per cell]  1 F 2.54
H 0.0000 0.0000 0.0000 [16 per cell]  6 K 2.86
H 0.0000 0.2500 0.3750 [24 per cell]  4 K 3.06
F 0.0000 0.2500 0.1250 [24 per cell]  4 K 2.54

---

The following is a PBE-GGA calculation of crystalline KH3F4 at its relaxed geometry, from Alexandria via LeMat-Bulk.

Summary:
E ... -4.33 eV/atom

abc: 7.4671 7.4671 12.4386
angles: 90.00 90.00 120.00
Last column: nearest neighbours and their distance in Å.
Space group R-3c (No. 167, hexagonal axes)
One atom of each set of equivalent atoms:
K 0.0000 0.0000 0.0000 [6 per cell]  6 F 2.74
H 0.0000 0.1874 0.2500 [18 per cell]  1 F 1.00
F 0.0000 0.0000 0.2500 [6 per cell]  3 H 1.40
F 0.0000 0.3217 0.2500 [18 per cell]  1 H 1.00

---

The following is a PBE-GGA calculation of crystalline K3H2F at its relaxed geometry, from Alexandria via LeMat-Bulk.

Summary:
E ... -3.03 eV/atom

abc: 3.9378 5.5667 11.8617
angles: 90.00 90.00 90.00
Last column: nearest neighbours and their distance in Å.
Space group Immm (No. 71)
One atom of each set of equivalent atoms:
K 0.0000 0.0000 0.0000 [2 per cell]  2 F 2.78, 4 H 2.79
K 0.0000 0.0000 0.3398 [4 per cell]  2 F 2.74, 4 H 2.78-2.85
H 0.0000 0.5000 0.3336 [4 per cell]  6 K 2.78-2.85
F 0.0000 0.5000 0.0000 [2 per cell]  6 K 2.74-2.78

---

The following is a PBE-GGA calculation of crystalline KH4F5 at its relaxed geometry, from Alexandria via LeMat-Bulk.

Summary:
E ... -4.31 eV/atom

abc: 6.4767 6.4767 12.3238
angles: 90.00 90.00 90.00
Last column: nearest neighbours and their distance in Å.
Space group I4_1/a (No. 88, origin choice 2)
One atom of each set of equivalent atoms:
K 0.0000 0.2500 0.1250 [4 per cell]  8 F 2.73-2.77
H 0.1170 0.0940 0.6852 [16 per cell]  1 F 0.99
F 0.0000 0.2500 0.6250 [4 per cell]  4 H 1.47
F 0.1972 0.4873 0.2762 [16 per cell]  1 H 0.99

---

The following is a PBE-GGA calculation of crystalline KH2F4 at its relaxed geometry, from Alexandria via LeMat-Bulk.

Summary:
E ... -3.85 eV/atom

abc: 8.5776 8.5776 5.1551
angles: 90.00 90.00 90.00
Last column: nearest neighbours and their distance in Å.
Space group I-42d (No. 122)
One atom of each set of equivalent atoms:
K 0.0000 0.0000 0.0000 [4 per cell]  8 F 2.71-2.98
H 0.1180 0.2500 0.6250 [8 per cell]  2 F 1.15
F 0.1102 0.2200 0.4089 [16 per cell]  1 H 1.15

---

The following is a PBE-GGA calculation of crystalline K3HF5 at its relaxed geometry, from Alexandria via LeMat-Bulk.

Summary:
E ... -3.82 eV/atom

abc: 7.1103 7.1103 10.9262
angles: 90.00 90.00 90.00
Last column: nearest neighbours and their distance in Å.
Space group I4/mcm (No. 140)
One atom of each set of equivalent atoms:
K 0.0000 0.0000 0.2500 [4 per cell]  10 F 2.73-3.01
K 0.1764 0.3236 0.0000 [8 per cell]  8 F 2.62-2.77
H 0.0000 0.5000 0.2500 [4 per cell]  4 F 1.51
F 0.0000 0.0000 0.0000 [4 per cell]  6 K 2.62-2.73
F 0.1161 0.3839 0.3378 [16 per cell]  1 H 1.51